Entry 1:
Entry from the Alexandria database: an optimized crystal structure of Pm9Sm4Dy11 (PBE).

Calculated formation energy, eV per atom: 0.055
Crystal system: orthorhombic

Cell lengths 15.2783, 15.2783, 3.7268 Å; angles 90.00, 90.00, 113.27 degrees
Last column: nearest neighbours and their distance in Å.
Sites, in units of the cell vectors:
Pm1 0.0000 0.0000 0.0000  4 Sm 3.64, 2 Pm 3.73, 8 Dy 3.90-4.04
Pm2 0.1313 0.6625 0.0000  3 Pm 3.47-3.73, 8 Dy 3.52-3.70, 1 Sm 3.54
Pm3 0.2879 0.4358 0.0000  8 Dy 3.52-3.72, 1 Sm 3.54, 3 Pm 3.73-3.77
Pm4 0.3375 0.8687 0.0000  3 Pm 3.47-3.73, 8 Dy 3.52-3.70, 1 Sm 3.54
Pm5 0.4358 0.2879 0.0000  8 Dy 3.52-3.72, 1 Sm 3.54, 3 Pm 3.73-3.77
Pm6 0.5642 0.7121 0.0000  8 Dy 3.52-3.72, 1 Sm 3.54, 3 Pm 3.73-3.77
Pm7 0.6625 0.1313 0.0000  3 Pm 3.47-3.73, 8 Dy 3.52-3.70, 1 Sm 3.54
Pm8 0.7121 0.5642 0.0000  8 Dy 3.52-3.72, 1 Sm 3.54, 3 Pm 3.73-3.77
Pm9 0.8687 0.3375 0.0000  3 Pm 3.47-3.73, 8 Dy 3.52-3.70, 1 Sm 3.54
Sm1 0.0551 0.2549 0.0000  6 Dy 3.31-3.43, 3 Pm 3.54-3.64
Sm2 0.2549 0.0551 0.0000  6 Dy 3.31-3.43, 3 Pm 3.54-3.64
Sm3 0.7451 0.9449 0.0000  6 Dy 3.31-3.43, 3 Pm 3.54-3.64
Sm4 0.9449 0.7451 0.0000  6 Dy 3.31-3.43, 3 Pm 3.54-3.64
Dy1 0.0943 0.4552 0.5000  2 Sm 3.43, 6 Pm 3.52-3.70, 4 Dy 3.65-3.82
Dy2 0.1343 0.8657 0.5000  4 Sm 3.32, 4 Pm 3.61
Dy3 0.2132 0.2132 0.5000  4 Sm 3.31, 4 Pm 3.64
Dy4 0.3388 0.6612 0.5000  8 Pm 3.68-3.72, 5 Dy 3.73-4.11
Dy5 0.4552 0.0943 0.5000  2 Sm 3.43, 6 Pm 3.52-3.70, 4 Dy 3.65-3.82
Dy6 0.5000 0.5000 0.5000  8 Pm 3.52, 2 Dy 3.73
Dy7 0.5448 0.9057 0.5000  2 Sm 3.43, 6 Pm 3.52-3.70, 4 Dy 3.65-3.82
Dy8 0.6612 0.3388 0.5000  8 Pm 3.68-3.72, 5 Dy 3.73-4.11
Dy9 0.7868 0.7868 0.5000  4 Sm 3.31, 4 Pm 3.64
Dy10 0.8657 0.1343 0.5000  4 Sm 3.32, 4 Pm 3.61
Dy11 0.9057 0.5448 0.5000  2 Sm 3.43, 6 Pm 3.52-3.70, 4 Dy 3.65-3.82

Entry 2:
Entry from the Alexandria database: an optimized crystal structure of Ga2BiCN (PBE).

Crystal system: tetragonal
Energy relative to the elements, uncorrected, eV/atom: 1.385

Cell lengths 4.0981, 4.0981, 5.1404 Å; angles 90.00, 90.00, 90.00 degrees
Last column: nearest neighbours and their distance in Å.
Sites, in units of the cell vectors:
Ga1 0.0000 0.5000 0.0000  2 N 2.05
Ga2 0.5000 0.0000 0.0000  2 N 2.05
Bi1 0.0000 0.0000 0.5000  2 N 2.57
C1 0.5000 0.5000 0.5000  4 Bi 2.90
N1 0.0000 0.0000 0.0000  4 Ga 2.05

Entry 3:
Entry from the Alexandria database: an optimized crystal structure of RbAg2SbCl8 (PBE).

Crystal system: triclinic
Energy relative to the elements, uncorrected, eV/atom: -0.817

Cell lengths 6.2048, 7.3957, 9.5100 Å; angles 109.52, 95.42, 90.45 degrees
Last column: nearest neighbours and their distance in Å.
Sites, in units of the cell vectors:
Rb1 0.0000 0.0000 0.0000  6 Cl 3.42-3.54
Ag1 0.4425 0.3689 0.8136  4 Cl 2.52-2.79
Ag2 0.5575 0.6311 0.1864  4 Cl 2.52-2.79
Sb1 0.0000 0.0000 0.5000  6 Cl 2.41-2.47
Cl1 0.1826 0.8221 0.2799  1 Sb 2.46
Cl2 0.2360 0.8720 0.6571  1 Sb 2.41
Cl3 0.2501 0.2808 0.5526  1 Sb 2.47, 1 Ag 2.52
Cl4 0.4667 0.2720 0.0468  2 Ag 2.54-2.57
Cl5 0.5333 0.7280 0.9532  2 Ag 2.54-2.57
Cl6 0.7499 0.7192 0.4474  1 Sb 2.47, 1 Ag 2.52
Cl7 0.7640 0.1280 0.3429  1 Sb 2.41
Cl8 0.8174 0.1779 0.7201  1 Sb 2.46

Entry 4:
Entry from the Alexandria database: an optimized crystal structure of NpAl10Rh2 (PBE).

Calculated formation energy, eV per atom: -0.463
Crystal system: orthorhombic

Cell lengths 6.8398, 6.8398, 9.1443 Å; angles 90.00, 90.00, 97.43 degrees
Last column: nearest neighbours and their distance in Å.
Sites, in units of the cell vectors:
Np1 0.1176 0.8824 0.7500  14 Al 3.14-3.28, 4 Rh 3.49
Np2 0.8824 0.1176 0.2500  14 Al 3.14-3.28, 4 Rh 3.49
Al1 0.1368 0.4059 0.7500  2 Rh 2.58, 8 Al 2.70-2.81
Al2 0.1576 0.8424 0.1011  2 Rh 2.62, 6 Al 2.69-2.81
Al3 0.1576 0.8424 0.3989  2 Rh 2.62, 6 Al 2.69-2.81
Al4 0.2202 0.2202 0.0000  2 Rh 2.58, 8 Al 2.71-2.88
Al5 0.2202 0.2202 0.5000  2 Rh 2.58, 8 Al 2.71-2.88
Al6 0.2255 0.4770 0.2500  7 Al 2.69-2.94, 2 Rh 2.77
Al7 0.3781 0.6219 0.5576  2 Rh 2.66, 6 Al 2.69-2.87
Al8 0.3781 0.6219 0.9424  2 Rh 2.66, 6 Al 2.69-2.87
Al9 0.4059 0.1368 0.2500  2 Rh 2.58, 8 Al 2.70-2.81
Al10 0.4770 0.2255 0.7500  7 Al 2.69-2.94, 2 Rh 2.77
Al11 0.5230 0.7745 0.2500  7 Al 2.69-2.94, 2 Rh 2.77
Al12 0.5941 0.8632 0.7500  2 Rh 2.58, 8 Al 2.70-2.81
Al13 0.6219 0.3781 0.0576  2 Rh 2.66, 6 Al 2.69-2.87
Al14 0.6219 0.3781 0.4424  2 Rh 2.66, 6 Al 2.69-2.87
Al15 0.7745 0.5230 0.7500  7 Al 2.69-2.94, 2 Rh 2.77
Al16 0.7798 0.7798 0.0000  2 Rh 2.58, 8 Al 2.71-2.88
Al17 0.7798 0.7798 0.5000  2 Rh 2.58, 8 Al 2.71-2.88
Al18 0.8424 0.1576 0.6011  2 Rh 2.62, 6 Al 2.69-2.81
Al19 0.8424 0.1576 0.8989  2 Rh 2.62, 6 Al 2.69-2.81
Al20 0.8632 0.5941 0.2500  2 Rh 2.58, 8 Al 2.70-2.81
Rh1 0.0000 0.5000 0.0000  10 Al 2.58-2.77
Rh2 0.0000 0.5000 0.5000  10 Al 2.58-2.77
Rh3 0.5000 0.0000 0.0000  10 Al 2.58-2.77
Rh4 0.5000 0.0000 0.5000  10 Al 2.58-2.77

Number 1: spin magnetization 0.00 μB/f.u.. Number 2: spin magnetization 0.00 μB/f.u.. Number 3: spin magnetization 0.00 μB/f.u.. Number 4: spin magnetization 4.51 μB/f.u..